Record 1
This record from the Alexandria database describes a geometry-optimized Tc3RhBr structure. The functional is PBE.

Magnetization in μB per atom: 0.000
Raw total energy in eV/atom: -6.30
ΔE_f (raw) in kJ/mol of atoms: 166
E above lowest polymorph in meV/atom: 0

Cell lengths 4.487, 4.487, 4.487 Å; angles 90.00, 90.00, 90.00 degrees
Fractional positions:
1 Tc 0.000 0.500 0.000
2 Rh 0.500 0.500 0.500
3 Tc 0.500 0.000 0.000
4 Br 0.000 0.000 0.000
5 Tc 0.000 0.000 0.500


Record 2
This record from the Alexandria database describes a geometry-optimized TcRhBr structure. The functional is PBE.

Magnetization in μB per atom: 0.230
Raw total energy in eV/atom: -5.74
ΔE_f (raw) in kJ/mol of atoms: 70
E above lowest polymorph in meV/atom: 261

Cell lengths 7.458, 7.163, 2.912 Å; angles 84.27, 72.87, 22.86 degrees
Fractional positions:
1 Tc 0.671 0.671 0.329
2 Br 0.007 0.007 0.993
3 Rh 0.322 0.322 0.678